1.
Crystalline YSi2Sb at its relaxed geometry, computed with PBEsol.

Unit cell a=3.921 b=3.948 c=6.025 alpha=90.00 beta=106.79 gamma=90.00
Positions (direct):
Y1 0.500 0.500 0.000
Sb1 0.000 0.500 0.500
Si1 0.881 0.000 0.800
Si2 0.119 0.000 0.200

Results
Calculated density ... 4.96 g/cm³
DFT total energy ... -5.96 eV/atom
N(E_F) ... 1.87 states/eV/f.u.
Symmetry ... P2/m, No. 10
ΔE_f (raw) ... -23.01 kJ/mol of atoms

---

2.
Crystalline Sc4Co3Sb4 at its relaxed geometry, computed with PBEsol.

Unit cell a=4.235 b=6.764 c=7.203 alpha=90.45 beta=90.00 gamma=90.00
Positions (direct):
Sc1 0.500 0.502 0.723
Sc2 0.500 0.004 0.783
Sc3 0.000 0.499 0.280
Sc4 0.000 0.988 0.216
Co1 0.500 0.855 0.429
Co2 0.000 0.652 0.929
Co3 0.000 0.146 0.568
Sb1 0.500 0.233 0.398
Sb2 0.500 0.727 0.094
Sb3 0.000 0.769 0.599
Sb4 0.000 0.277 0.911

Results
Calculated density ... 6.79 g/cm³
DFT total energy ... -6.90 eV/atom
N(E_F) ... 7.64 states/eV/f.u.
Symmetry ... Pm, No. 6
ΔE_f (raw) ... -70.65 kJ/mol of atoms

---

3.
Crystalline Cs3Sn4Au at its relaxed geometry, computed with PBEsol.

Unit cell a=6.575 b=7.300 c=13.659 alpha=90.00 beta=90.00 gamma=90.00
Positions (direct):
Cs1 0.835 0.500 0.742
Cs2 0.165 0.000 0.242
Cs3 0.165 0.000 0.758
Cs4 0.453 0.500 0.500
Cs5 0.547 0.000 0.000
Cs6 0.835 0.500 0.258
Sn1 0.961 0.213 0.500
Sn2 0.335 0.500 0.113
Sn3 0.961 0.787 0.500
Sn4 0.665 0.000 0.613
Sn5 0.665 0.000 0.387
Sn6 0.039 0.287 0.000
Sn7 0.039 0.713 0.000
Sn8 0.335 0.500 0.887
Au1 0.687 0.500 0.000
Au2 0.313 0.000 0.500

Results
Calculated density ... 5.42 g/cm³
E_form ... -356 meV per atom
DFT total energy ... -3.33 eV/atom
Symmetry ... Pmmn, No. 59

---

4.
Crystalline CrCo2 at its relaxed geometry, computed with PBEsol.

Unit cell a=2.852 b=3.556 c=3.556 alpha=90.00 beta=90.00 gamma=90.00
Positions (direct):
Co1 0.500 0.000 0.500
Co2 0.500 0.500 0.000
Cr1 0.000 0.000 0.000

Results
Calculated density ... 7.82 g/cm³
E_form ... 747 meV per atom
DFT total energy ... -7.83 eV/atom
N(E_F) ... 1.88 states/eV/f.u.
Symmetry ... P4/mmm, No. 123

---

5.
Crystalline Ho2Al at its relaxed geometry, computed with PBEsol.

Unit cell a=5.013 b=6.408 c=9.288 alpha=90.00 beta=90.00 gamma=90.00
Positions (direct):
Al1 0.750 0.207 0.602
Al2 0.250 0.293 0.102
Al3 0.250 0.793 0.398
Al4 0.750 0.707 0.898
Ho1 0.750 0.689 0.573
Ho2 0.250 0.811 0.073
Ho3 0.250 0.311 0.427
Ho4 0.750 0.189 0.927
Ho5 0.750 0.527 0.211
Ho6 0.250 0.973 0.711
Ho7 0.250 0.473 0.789
Ho8 0.750 0.027 0.289

Results
Calculated density ... 7.94 g/cm³
E_form ... -292 meV per atom
DFT total energy ... -4.96 eV/atom
N(E_F) ... 2.23 states/eV/f.u.
Symmetry ... Pnma, No. 62

---

6.
Crystalline Nd4MgRh at its relaxed geometry, computed with PBEsol.

Unit cell a=9.848 b=9.848 c=9.848 alpha=60.00 beta=60.00 gamma=60.00
Positions (direct):
Nd1 0.403 0.403 0.791
Nd2 0.791 0.403 0.403
Nd3 0.403 0.403 0.403
Nd4 0.403 0.791 0.403
Nd5 0.562 0.938 0.938
Nd6 0.938 0.562 0.562
Nd7 0.562 0.562 0.938
Nd8 0.938 0.938 0.562
Nd9 0.938 0.562 0.938
Nd10 0.562 0.938 0.562
Nd11 0.188 0.812 0.812
Nd12 0.812 0.188 0.188
Nd13 0.188 0.188 0.812
Nd14 0.812 0.812 0.188
Nd15 0.812 0.188 0.812
Nd16 0.188 0.812 0.188
Mg1 0.171 0.171 0.488
Mg2 0.488 0.171 0.171
Mg3 0.171 0.171 0.171
Mg4 0.171 0.488 0.171
Rh1 0.608 0.608 0.176
Rh2 0.176 0.608 0.608
Rh3 0.608 0.608 0.608
Rh4 0.608 0.176 0.608

Results
Calculated density ... 6.92 g/cm³
E_form ... -315 meV per atom
DFT total energy ... -5.40 eV/atom
N(E_F) ... 4.87 states/eV/f.u.
Symmetry ... F-43m, No. 216

---

7.
Crystalline SrAlSi2Rh at its relaxed geometry, computed with PBEsol.

Unit cell a=4.611 b=4.765 c=4.765 alpha=90.00 beta=90.00 gamma=90.00
Positions (direct):
Sr1 0.500 0.500 0.500
Si1 0.000 0.000 0.500
Si2 0.000 0.500 0.000
Rh1 0.500 0.000 0.000
Al1 0.000 0.000 0.000

Results
Calculated density ... 4.34 g/cm³
DFT total energy ... -4.88 eV/atom
N(E_F) ... 2.82 states/eV/f.u.
Symmetry ... P4/mmm, No. 123
ΔE_f (raw) ... 22.56 kJ/mol of atoms

---

8.
Crystalline LaZr2Bi2 at its relaxed geometry, computed with PBEsol.

Unit cell a=4.317 b=4.317 c=7.963 alpha=105.73 beta=105.73 gamma=90.00
Positions (direct):
Bi1 0.391 0.391 0.782
Bi2 0.609 0.609 0.218
Zr1 0.250 0.750 0.500
Zr2 0.750 0.250 0.500
La1 0.000 0.000 0.000

Results
Calculated density ... 8.96 g/cm³
E_form ... -514 meV per atom
DFT total energy ... -6.93 eV/atom
N(E_F) ... 4.07 states/eV/f.u.
Symmetry ... I4/mmm, No. 139

---

9.
Crystalline Tl2HgPb at its relaxed geometry, computed with PBEsol.

Unit cell a=3.420 b=3.420 c=10.864 alpha=80.04 beta=80.04 gamma=61.19
Positions (direct):
Pb1 0.245 0.245 0.261
Tl1 0.999 0.999 0.998
Tl2 0.754 0.754 0.738
Hg1 0.502 0.502 0.503

Results
Calculated density ... 12.43 g/cm³
E_form ... 14 meV per atom
DFT total energy ... -2.44 eV/atom
N(E_F) ... 1.97 states/eV/f.u.
Symmetry ... Cm, No. 8

---

10.
Crystalline Rb2GaAu at its relaxed geometry, computed with PBEsol.

Unit cell a=4.817 b=9.383 c=9.383 alpha=86.22 beta=75.13 gamma=75.13
Positions (direct):
Au1 0.750 0.500 0.500
Au2 0.000 0.000 0.000
Ga1 0.250 0.500 0.500
Ga2 0.500 0.000 0.000
Rb1 0.941 0.184 0.684
Rb2 0.809 0.816 0.316
Rb3 0.375 0.684 0.816
Rb4 0.875 0.316 0.184

Results
Calculated density ... 3.67 g/cm³
E_form ... -68 meV per atom
DFT total energy ... -2.40 eV/atom
N(E_F) ... 2.48 states/eV/f.u.
Symmetry ... I-42d, No. 122

---

11.
Crystalline Si2AsBr at its relaxed geometry, computed with PBEsol.

Unit cell a=3.627 b=4.894 c=4.892 alpha=112.07 beta=90.00 gamma=90.00
Positions (direct):
As1 0.500 0.000 0.500
Si1 0.000 0.219 0.281
Si2 0.000 0.781 0.719
Br1 0.500 0.500 0.000

Results
Calculated density ... 4.35 g/cm³
DFT total energy ... -4.32 eV/atom
Energy relative to the lowest polymorph listed for this composition ... 0.0 meV per atom
N(E_F) ... 1.43 states/eV/f.u.
Symmetry ... Cmmm, No. 65
ΔE_f (raw) ... 28.89 kJ/mol of atoms

---

12.
Crystalline K3BaCu at its relaxed geometry, computed with PBEsol.

Unit cell a=7.941 b=7.941 c=7.941 alpha=90.00 beta=90.00 gamma=90.00
Positions (direct):
K1 0.000 0.500 0.000
K2 0.000 0.000 0.500
K3 0.500 0.000 0.000
Ba1 0.000 0.000 0.000
Cu1 0.500 0.500 0.500

Results
Calculated density ... 1.06 g/cm³
E_form ... 1099 meV per atom
DFT total energy ... -0.88 eV/atom
N(E_F) ... 2.67 states/eV/f.u.
Symmetry ... Pm-3m, No. 221

---

13.
Crystalline TlTeBr2 at its relaxed geometry, computed with PBEsol.

Unit cell a=3.463 b=3.463 c=10.972 alpha=80.92 beta=80.92 gamma=60.00
Positions (direct):
Tl1 0.000 0.000 0.000
Te1 0.500 0.500 0.500
Br1 0.907 0.907 0.280
Br2 0.093 0.093 0.720

Results
Calculated density ... 7.29 g/cm³
DFT total energy ... -2.47 eV/atom
Energy relative to the lowest polymorph listed for this composition ... 241.9 meV per atom
N(E_F) ... 1.84 states/eV/f.u.
Symmetry ... R-3m, No. 166
ΔE_f (raw) ... 0.85 kJ/mol of atoms

---

14.
Crystalline ErSi2Au2 at its relaxed geometry, computed with PBEsol.

Unit cell a=4.194 b=4.194 c=5.858 alpha=110.98 beta=110.98 gamma=90.00
Positions (direct):
Si1 0.388 0.388 0.775
Si2 0.612 0.612 0.225
Au1 0.250 0.750 0.500
Au2 0.750 0.250 0.500
Er1 0.000 0.000 0.000

Results
Calculated density ... 11.54 g/cm³
DFT total energy ... -5.46 eV/atom
N(E_F) ... 1.30 states/eV/f.u.
Symmetry ... I4/mmm, No. 139
ΔE_f (raw) ... -58.29 kJ/mol of atoms

---

15.
Crystalline CaMnSi2 at its relaxed geometry, computed with PBEsol.

Unit cell a=3.641 b=4.086 c=5.507 alpha=107.71 beta=90.00 gamma=116.46
Positions (direct):
Ca1 0.500 0.000 0.000
Mn1 0.000 0.000 0.500
Si1 0.717 0.435 0.621
Si2 0.283 0.565 0.379

Results
Calculated density ... 3.64 g/cm³
DFT total energy ... -6.18 eV/atom
N(E_F) ... 1.88 states/eV/f.u.
Symmetry ... C2/m, No. 12
ΔE_f (raw) ... -32.21 kJ/mol of atoms

---

16.
Crystalline CdRe2Ir at its relaxed geometry, computed with PBEsol.

Unit cell a=2.733 b=2.733 c=9.383 alpha=90.00 beta=90.00 gamma=117.09
Positions (direct):
Re1 0.000 0.000 0.999
Re2 0.500 0.500 0.767
Ir1 0.500 0.500 0.238
Cd1 0.000 0.000 0.496

Results
Calculated density ... 18.02 g/cm³
E_form ... 379 meV per atom
DFT total energy ... -9.04 eV/atom
N(E_F) ... 3.43 states/eV/f.u.
Symmetry ... Cmm2, No. 35

---

17.
Crystalline ThNi2Sn2 at its relaxed geometry, computed with PBEsol.

Unit cell a=4.389 b=4.389 c=9.973 alpha=90.00 beta=90.00 gamma=90.00
Positions (direct):
Th1 0.000 0.500 0.234
Th2 0.500 0.000 0.766
Ni1 0.000 0.000 0.000
Ni2 0.500 0.500 0.000
Ni3 0.500 0.000 0.373
Ni4 0.000 0.500 0.627
Sn1 0.500 0.000 0.126
Sn2 0.000 0.000 0.500
Sn3 0.500 0.500 0.500
Sn4 0.000 0.500 0.874

Results
Calculated density ... 10.14 g/cm³
E_form ... -564 meV per atom
DFT total energy ... -6.35 eV/atom
N(E_F) ... 2.39 states/eV/f.u.
Symmetry ... P4/nmm, No. 129

---

18.
Crystalline ZrScGa2 at its relaxed geometry, computed with PBEsol.

Unit cell a=4.687 b=4.687 c=4.687 alpha=60.00 beta=60.00 gamma=60.00
Positions (direct):
Sc1 0.000 0.000 0.000
Ga1 0.250 0.250 0.250
Ga2 0.750 0.750 0.750
Zr1 0.500 0.500 0.500

Results
Calculated density ... 6.29 g/cm³
E_form ... -518 meV per atom
DFT total energy ... -6.11 eV/atom
N(E_F) ... 3.55 states/eV/f.u.
Symmetry ... Fm-3m, No. 225

---

19.
Crystalline Cd2InSe2 at its relaxed geometry, computed with PBEsol.

Unit cell a=5.238 b=5.897 c=5.238 alpha=116.37 beta=90.00 gamma=116.37
Positions (direct):
Cd1 0.652 0.304 0.652
Cd2 0.348 0.696 0.348
In1 0.000 0.000 0.000
Se1 0.250 0.500 0.750
Se2 0.750 0.500 0.250

Results
Calculated density ... 6.56 g/cm³
DFT total energy ... -2.78 eV/atom
N(E_F) ... 1.92 states/eV/f.u.
Symmetry ... I4/mmm, No. 139
ΔE_f (raw) ... -15.84 kJ/mol of atoms

---

20.
Crystalline Tc2AsBr at its relaxed geometry, computed with PBEsol.

Unit cell a=2.941 b=3.832 c=6.357 alpha=90.00 beta=90.00 gamma=90.00
Positions (direct):
As1 0.000 0.000 0.411
Tc1 0.000 0.000 0.034
Tc2 0.500 0.500 0.220
Br1 0.500 0.500 0.834

Results
Calculated density ... 8.13 g/cm³
DFT total energy ... -7.11 eV/atom
N(E_F) ... 2.48 states/eV/f.u.
Symmetry ... Pmm2, No. 25
ΔE_f (raw) ... 25.89 kJ/mol of atoms